Below is CaInAs2Br at its PBEsol-relaxed geometry, with properties calculated at the SCAN level.

Computed properties:
D(E_F), states/eV/atom: 0.480
ΔE_f (raw), eV per formula unit: -0.94

abc: 5.096 5.096 5.590
angles: 90.00 90.00 90.00
Space group P4/mmm (No. 123)
Symmetry-distinct sites (fractional):
Ca1 0.000 0.000 0.000 [1 per cell]
In1 0.500 0.500 0.500 [1 per cell]
As1 0.000 0.500 0.500 [2 per cell]
Br1 0.500 0.500 0.000 [1 per cell]

Below is KCaAs2Br at its PBEsol-relaxed geometry, with properties calculated at the SCAN level.

Computed properties:
D(E_F), states/eV/atom: 0.651
ΔE_f (raw), eV per formula unit: -0.24

abc: 5.250 5.250 12.826
angles: 90.00 90.00 90.00
Space group P4/mmm (No. 123)
Symmetry-distinct sites (fractional):
K1 0.000 0.000 0.000 [1 per cell]
Ca1 0.000 0.000 0.500 [1 per cell]
As1 0.000 0.500 0.500 [2 per cell]
Br1 0.500 0.500 0.000 [1 per cell]

Below is CaNbAs2Br at its PBEsol-relaxed geometry, with properties calculated at the SCAN level.

Computed properties:
D(E_F), states/eV/atom: 0.872
ΔE_f (raw), eV per formula unit: 3.76

abc: 5.170 5.170 5.140
angles: 90.00 90.00 90.00
Space group P4/mmm (No. 123)
Symmetry-distinct sites (fractional):
Ca1 0.000 0.000 0.000 [1 per cell]
Nb1 0.500 0.500 0.500 [1 per cell]
As1 0.000 0.500 0.000 [2 per cell]
Br1 0.000 0.000 0.500 [1 per cell]

Below is CaAsOsBr2 at its PBEsol-relaxed geometry, with properties calculated at the SCAN level.

Computed properties:
D(E_F), states/eV/atom: 0.317
ΔE_f (raw), eV per formula unit: -0.75

abc: 5.194 5.194 4.651
angles: 90.00 90.00 90.00
Space group P4/mmm (No. 123)
Symmetry-distinct sites (fractional):
Ca1 0.000 0.000 0.000 [1 per cell]
As1 0.500 0.500 0.000 [1 per cell]
Os1 0.500 0.500 0.500 [1 per cell]
Br1 0.000 0.500 0.500 [2 per cell]

> Look up the ΔE_f (raw) of the third one.

3.76 eV per formula unit